Ca2AgP | PBE | relaxed

Summary:
DOS(E_F) ... 4.037 states/eV/f.u.
Total magnetic moment ... 0.00 μB per formula unit
Energy of formation ... -68 meV per atom
SG ... No. 216

The structure in POSCAR format:
```
Ca2AgP
1.0
-1.850 -3.585 3.111
3.137 -3.433 2.081
1.024 0.179 4.987
P Ag Ca
1 1 2
Direct
0.750 0.750 0.750
0.500 0.500 0.500
0.250 0.250 0.250
0.000 0.000 0.000
```